[1]
## Er2Mg4Sc (GGA-PBE)

Data for a relaxed Er2Mg4Sc crystal.

Unit cell a=5.2471 b=5.9040 c=7.1565 alpha=114.36 beta=90.00 gamma=90.00
Fractional coordinates of all 7 atoms:
Er1 0.5000 0.1324 0.2648
Er2 0.5000 0.8676 0.7352
Mg1 0.0000 0.7303 0.4605
Mg2 0.5000 0.6130 0.2259
Mg3 0.0000 0.2697 0.5395
Mg4 0.5000 0.3870 0.7741
Sc1 0.0000 0.5000 0.0000

Properties
The relative energy among the computed polymorphs comes out at 39.19 kJ per mole of atoms. The total magnetization comes out at 0.000 μB/f.u.


[2]
## CeErFeOs (GGA-PBE)

Data for a relaxed CeErFeOs crystal.

Unit cell a=4.8166 b=4.8166 c=4.8166 alpha=60.00 beta=60.00 gamma=60.00
Site moments in Bohr magnetons follow the coordinates.
Fractional coordinates of all 4 atoms:
Er1 0.5000 0.5000 0.5000  -0.19
Fe1 0.7500 0.7500 0.7500  2.05
Ce1 0.0000 0.0000 0.0000  -0.49
Os1 0.2500 0.2500 0.2500  0.20

Properties
The total magnetization comes out at 1.437 μB/f.u. The total DFT energy (no corrections) is -7.599 eV per atom.